A plane-wave DFT calculation with PBE with a Hubbard U was carried out for a relaxed ZnCoO2 crystal.

Summary:
Total DFT energy (no corrections) ... -3.5874 eV per atom
Spin magnetization ... 0.78 μB/atom
Mass density ... 6.37 g/cm3
V ... 40.8 Å³ per cell

```
ZnCoO2
1.0
0.0000 2.7318 2.7318
2.7318 0.0000 2.7318
2.7318 2.7318 0.0000
Zn Co O
1 1 2
Direct
0.0000 0.0000 0.0000 Zn
0.7500 0.7500 0.7500 Co
0.2500 0.2500 0.2500 O
0.5000 0.5000 0.5000 O
```